Entry 1:
3
Lattice="5.065 0.000 0.000 -2.533 4.387 0.000 0.000 0.000 3.482" Properties=species:S:1:pos:R:3 comment="AgSnPb, relaxed, DFT PBE" space_group="P3m1 (156)" delta_e_f_mev_per_atom=77 pbc="T T T"
Ag 0.000 0.000 0.000
Sn 2.533 1.462 3.473
Pb 0.000 2.924 1.729


Entry 2:
10
Lattice="8.488 0.000 0.000 0.000 8.488 0.000 0.000 0.000 3.389" Properties=species:S:1:pos:R:3 comment="Ag2Sn2Pb, relaxed, DFT PBE" space_group="P4/mbm (127)" delta_e_f_mev_per_atom=68 de_polymorph_ev_per_atom=0.000 pbc="T T T"
Ag 1.072 3.172 0.000
Ag 3.172 7.417 0.000
Ag 5.316 1.072 0.000
Ag 7.417 5.316 0.000
Sn 1.425 5.669 1.694
Sn 2.819 1.425 1.694
Sn 5.669 7.063 1.694
Sn 7.063 2.819 1.694
Pb 0.000 0.000 0.000
Pb 4.244 4.244 0.000


Entry 3:
3
Lattice="0.000 3.458 3.458 3.458 0.000 3.458 3.458 3.458 0.000" Properties=species:S:1:pos:R:3 comment="AgSnPb, relaxed, DFT PBE" space_group="F-43m (216)" delta_e_f_mev_per_atom=80 pbc="T T T"
Ag 0.000 0.000 0.000
Sn 1.729 1.729 1.729
Pb 5.187 5.187 5.187


Entry 4:
8
Lattice="-2.257 2.257 11.169 2.257 -2.257 11.169 2.257 2.257 -11.169" Properties=species:S:1:pos:R:3 comment="AgSnPb2, relaxed, DFT PBE" space_group="I-42d (122)" delta_e_f_mev_per_atom=186 pbc="T T T"
Ag 0.000 0.000 0.000
Ag 0.000 2.257 5.584
Sn 2.257 0.000 5.584
Sn 0.000 0.000 11.169
Pb 3.386 1.103 -2.792
Pb 1.103 1.129 2.792
Pb -1.129 1.155 8.376
Pb 1.155 1.129 13.961


Entry 5:
6
Lattice="3.404 0.000 0.000 -0.032 6.716 0.000 -1.651 -1.514 6.649" Properties=species:S:1:pos:R:3 comment="AgSnPb, relaxed, DFT PBE" space_group="P-1 (2)" delta_e_f_mev_per_atom=46 pbc="T T T"
Ag -0.007 1.514 0.012
Ag 1.728 3.688 6.637
Sn 0.025 5.198 4.611
Sn 1.696 0.004 2.038
Pb 0.024 1.812 4.702
Pb 1.697 3.390 1.946


Entry 6:
4
Lattice="2.379 1.373 5.757 -2.379 1.373 5.757 0.000 -2.747 5.757" Properties=species:S:1:pos:R:3 comment="AgSn2Pb, relaxed, DFT PBE" space_group="R3m (160)" delta_e_f_mev_per_atom=98 pbc="T T T"
Ag 0.000 0.000 0.000
Sn 0.000 0.000 6.746
Sn 0.000 0.000 10.283
Pb 0.000 0.000 14.176


Entry 7:
11
Lattice="9.147 -2.315 0.000 9.147 2.315 0.000 -2.173 0.000 7.687" Properties=species:S:1:pos:R:3 comment="AgSn2Pb8, relaxed, DFT PBE" space_group="C2/m (12)" delta_e_f_mev_per_atom=49 de_polymorph_ev_per_atom=0.000 pbc="T T T"
Ag 0.000 0.000 0.000
Sn 4.122 0.000 2.815
Sn 11.999 0.000 4.871
Pb 0.716 0.000 3.551
Pb 1.334 0.000 6.964
Pb 4.937 0.000 6.334
Pb 7.865 0.000 1.975
Pb 8.256 0.000 5.712
Pb 11.185 0.000 1.353
Pb 14.788 0.000 0.723
Pb 15.405 0.000 4.136


Entry 8:
10
Lattice="6.239 0.000 0.000 -2.111 6.032 0.000 -0.187 -2.909 6.722" Properties=species:S:1:pos:R:3 comment="Ag2Sn2Pb, relaxed, DFT PBE" space_group="P-1 (2)" delta_e_f_mev_per_atom=71 de_polymorph_ev_per_atom=0.003 pbc="T T T"
Ag 0.203 2.295 0.391
Ag 0.240 3.346 3.058
Ag 3.702 -0.223 3.663
Ag 3.739 0.828 6.330
Sn -0.053 1.103 4.821
Sn 2.307 -1.761 5.844
Sn 1.636 4.884 0.878
Sn 3.995 2.020 1.900
Pb 0.555 -0.230 2.011
Pb 3.387 3.353 4.710


Entry 9:
16
Lattice="6.085 0.000 0.000 0.000 6.085 0.000 0.000 0.000 8.188" Properties=species:S:1:pos:R:3 comment="Ag14SnPb, relaxed, DFT PBE" space_group="P4/mmm (123)" delta_e_f_mev_per_atom=46 pbc="T T T"
Ag 0.000 0.000 0.000
Ag 0.000 3.042 0.000
Ag 0.000 3.042 4.094
Ag 1.506 1.506 1.960
Ag 1.506 1.506 6.228
Ag 1.506 4.579 1.960
Ag 1.506 4.579 6.228
Ag 3.042 0.000 0.000
Ag 3.042 0.000 4.094
Ag 3.042 3.042 0.000
Ag 4.579 1.506 1.960
Ag 4.579 1.506 6.228
Ag 4.579 4.579 1.960
Ag 4.579 4.579 6.228
Sn 0.000 0.000 4.094
Pb 3.042 3.042 4.094


Entry 10:
8
Lattice="4.844 0.000 0.000 0.000 3.093 5.351 0.000 -3.093 5.351" Properties=species:S:1:pos:R:3 comment="Ag6SnPb, relaxed, DFT PBE" space_group="Amm2 (38)" delta_e_f_mev_per_atom=36 pbc="T T T"
Ag 0.000 0.000 0.000
Ag 0.000 -1.476 2.559
Ag 0.000 1.476 2.559
Ag 2.422 -1.580 6.181
Ag 2.422 0.000 3.454
Ag 2.422 1.580 6.181
Sn 0.000 0.000 5.276
Pb 2.422 0.000 8.836


Entry 11:
12
Lattice="0.000 4.989 10.519 2.910 0.000 10.519 2.910 4.989 0.000" Properties=species:S:1:pos:R:3 comment="AgSnPb, relaxed, DFT PBE" space_group="Fddd (70)" delta_e_f_mev_per_atom=33 pbc="T T T"
Ag 0.728 1.247 0.078
Ag 0.728 1.247 5.182
Ag 5.093 8.732 15.856
Ag 5.093 8.732 20.961
Sn 2.183 3.742 6.260
Sn 2.183 3.742 9.519
Sn 3.638 6.237 11.520
Sn 3.638 6.237 14.778
Pb 2.183 0.481 7.889
Pb 3.638 2.976 13.149
Pb 2.183 7.003 7.889
Pb 3.638 9.497 13.149


Entry 12:
8
Lattice="4.483 0.000 0.000 0.000 8.470 0.000 -2.201 0.000 5.569" Properties=species:S:1:pos:R:3 comment="AgSn2Pb, relaxed, DFT PBE" space_group="P2_1/m (11)" delta_e_f_mev_per_atom=28 pbc="T T T"
Ag 0.021 2.118 2.502
Ag 2.262 6.353 3.067
Sn 0.022 4.624 4.027
Sn 0.022 8.082 4.027
Sn 2.261 0.388 1.542
Sn 2.261 3.847 1.542
Pb 0.006 6.353 0.672
Pb 2.276 2.118 4.897